1.
5
Lattice="-2.2959 2.2959 5.3692 2.2959 -2.2959 5.3692 2.2959 2.2959 -5.3692" Properties=species:S:1:pos:R:3 comment="Ag2Ge2Br (PBE, relaxed)" space_group="No. 139" pbc="T T T"
Ag 2.2959 0.0000 2.6846
Ag 0.0000 2.2959 2.6846
Ge 0.0000 0.0000 1.3197
Ge 0.0000 0.0000 9.4187
Br 0.0000 0.0000 5.3692

---

2.
4
Lattice="3.5342 0.0000 0.0000 0.0000 3.5342 0.0000 0.0000 0.0000 9.5784" Properties=species:S:1:pos:R:3 comment="LaY2Cl (PBE, relaxed)" space_group="No. 123" pbc="T T T"
La 0.0000 0.0000 0.0000
Y 1.7671 1.7671 2.5828
Y 1.7671 1.7671 6.9955
Cl 0.0000 0.0000 4.7892

---

Short version: M_tot = 0.00 0.00 μB per cell, in the order given.
Short version: formation energy (no corrections) = 256 -478 meV per atom, in the order given.